First-principles (PBE-GGA) data for a relaxed BaAc4Rh3O12 crystal, as listed in Alexandria via LeMat-Bulk.

Geometry as CIF:
```
data_BaAc4Rh3O12
_cell_length_a 8.8316
_cell_length_b 8.8316
_cell_length_c 8.8316
_cell_angle_alpha 90.00
_cell_angle_beta 90.00
_cell_angle_gamma 90.00
_symmetry_space_group_name_H-M 'I m -3'
_symmetry_Int_Tables_number 204
_symmetry_space_group_name_Hall '-I 2 2 3'
loop_
_atom_site_label
_atom_site_type_symbol
_atom_site_fract_x
_atom_site_fract_y
_atom_site_fract_z
_atom_site_occupancy
Ba1 Ba 0.0000 0.0000 0.0000 1
Ac1 Ac 0.2500 0.2500 0.2500 1
Rh1 Rh 0.0000 0.0000 0.5000 1
O1 O 0.0000 0.3293 0.1470 1
```

As for the density: 7.45 g cm⁻³. The calculation puts the formation energy (no corrections) at -2.030 eV per atom.